# K3PmP2O8 | Alexandria via LeMat-Bulk | PBE | relaxed
data_K3PmP2O8
_chemical_formula_sum 'K3 Pm1 P2 O8'
_symmetry_space_group_name_H-M 'P 1'
_symmetry_Int_Tables_number 1
_cell_length_a 5.781
_cell_length_b 5.781
_cell_length_c 7.881
_cell_angle_alpha 90.00
_cell_angle_beta 90.00
_cell_angle_gamma 120.00
loop_
_symmetry_equiv_pos_as_xyz
'x,y,z'
loop_
_atom_site_label
_atom_site_type_symbol
_atom_site_fract_x
_atom_site_fract_y
_atom_site_fract_z
_atom_site_occupancy
K1 K 0.333 0.667 0.736 1
K2 K 0.667 0.333 0.264 1
K3 K 0.000 0.000 0.000 1
Pm1 Pm 0.000 0.000 0.500 1
P1 P 0.333 0.667 0.253 1
P2 P 0.667 0.333 0.747 1
O1 O 0.333 0.667 0.060 1
O2 O 0.667 0.333 0.940 1
O3 O 0.187 0.813 0.324 1
O4 O 0.813 0.187 0.676 1
O5 O 0.187 0.374 0.324 1
O6 O 0.813 0.626 0.676 1
O7 O 0.626 0.813 0.324 1
O8 O 0.374 0.187 0.676 1
# E_form (uncorrected) = -2.56 eV per atom
# spin magnetization = 0.0 μB/f.u.
# SG = P-3m1
# calculated volume = 228.1 Å³/cell